1.
First-principles (PBEsol) data for crystalline NaHg2 at its relaxed geometry, as listed in the Alexandria database.

size of the total moment = 0.0 μB per cell
E = -3.3 eV per cell
formation energy = -0.2642 eV per atom

Lattice parameters (Å, degrees): 5.0438 5.0438 3.1290 90.00 90.00 120.00
With the nearest neighbours (Å) after each atom.
Fractional coordinates of all 3 atoms:
Na 0.0000 0.0000 0.0000  2 Na 3.13, 12 Hg 3.31
Hg 0.3333 0.6667 0.5000  5 Hg 2.91-3.13
Hg 0.6667 0.3333 0.5000  5 Hg 2.91-3.13

2.
First-principles (PBEsol) data for crystalline NaNi2Hg2 at its relaxed geometry, as listed in the Alexandria database.

size of the total moment = 0.0 μB per cell
E = -27.3 eV per cell
formation energy = 0.2442 eV per atom

Lattice parameters (Å, degrees): 4.7073 4.7073 8.5205 90.00 90.00 90.00
With the nearest neighbours (Å) after each atom.
Fractional coordinates of all 10 atoms:
Na 0.0000 0.0000 0.0000  10 Ni 3.15-3.51, 8 Hg 3.17
Na 0.5000 0.5000 0.5000  10 Ni 3.15-3.51, 8 Hg 3.17
Ni 0.0000 0.0000 0.3702  1 Ni 2.21
Ni 0.0000 0.0000 0.6298  1 Ni 2.21
Ni 0.5000 0.5000 0.1298  1 Ni 2.21
Ni 0.5000 0.5000 0.8702  1 Ni 2.21
Hg 0.0000 0.5000 0.2500  4 Ni 2.57
Hg 0.0000 0.5000 0.7500  4 Ni 2.57
Hg 0.5000 0.0000 0.2500  4 Ni 2.57
Hg 0.5000 0.0000 0.7500  4 Ni 2.57

3.
First-principles (PBEsol) data for crystalline Na3HgO at its relaxed geometry, as listed in the Alexandria database.

ΔE_f (raw) = -711 meV/atom
size of the total moment = 0.0 μB per cell
E = -13.6 eV per cell

Lattice parameters (Å, degrees): 4.6518 4.6518 4.6518 90.00 90.00 90.00
With the nearest neighbours (Å) after each atom.
Fractional coordinates of all 5 atoms:
Na 0.0000 0.0000 0.5000  2 O 2.33
Na 0.0000 0.5000 0.0000  2 O 2.33
Na 0.5000 0.0000 0.0000  2 O 2.33
Hg 0.5000 0.5000 0.5000  12 Na 3.29
O 0.0000 0.0000 0.0000  6 Na 2.33

4.
First-principles (PBEsol) data for crystalline NaHgO2 at its relaxed geometry, as listed in the Alexandria database.

ΔE_f (raw) = -343 meV/atom
size of the total moment = 2.7 μB per cell
E = -41.5 eV per cell

Lattice parameters (Å, degrees): 3.5033 3.5033 19.1916 90.00 90.00 120.00
With the nearest neighbours (Å) after each atom.
Fractional coordinates of all 12 atoms:
Na 0.0000 0.0000 0.0000  2 O 2.13
Na 0.3333 0.6667 0.6667  2 O 2.13
Na 0.6667 0.3333 0.3333  2 O 2.13
Hg 0.0000 0.0000 0.5000  6 O 2.29
Hg 0.3333 0.6667 0.1667  6 O 2.29
Hg 0.6667 0.3333 0.8333  6 O 2.29
O 0.0000 0.0000 0.1111  1 Na 2.13, 3 Hg 2.29
O 0.0000 0.0000 0.8889  1 Na 2.13, 3 Hg 2.29
O 0.3333 0.6667 0.5556  1 Na 2.13, 3 Hg 2.29
O 0.3333 0.6667 0.7778  1 Na 2.13, 3 Hg 2.29
O 0.6667 0.3333 0.2222  1 Na 2.13, 3 Hg 2.29
O 0.6667 0.3333 0.4444  1 Na 2.13, 3 Hg 2.29

5.
First-principles (PBEsol) data for crystalline NaHgPO4 at its relaxed geometry, as listed in the Alexandria database.

ΔE_f (raw) = -1728 meV/atom
size of the total moment = 0.0 μB per cell
E = -81.7 eV per cell

Lattice parameters (Å, degrees): 5.5340 5.5340 6.4708 90.00 90.00 115.96
With the nearest neighbours (Å) after each atom.
Fractional coordinates of all 14 atoms:
Na 0.0000 0.0000 0.0000  6 O 2.36-2.41
Na 0.0000 0.0000 0.5000  6 O 2.36-2.41
Hg 0.3089 0.6911 0.7500  2 O 2.10
Hg 0.6911 0.3089 0.2500  2 O 2.10
P 0.3612 0.6388 0.2500  4 O 1.54-1.57
P 0.6388 0.3612 0.7500  4 O 1.54-1.57
O 0.2390 0.3296 0.2500  1 P 1.54
O 0.2532 0.7468 0.0643  1 P 1.57
O 0.2532 0.7468 0.4357  1 P 1.57
O 0.3296 0.2390 0.7500  1 P 1.54
O 0.6704 0.7610 0.2500  1 P 1.54
O 0.7468 0.2532 0.5643  1 P 1.57
O 0.7468 0.2532 0.9357  1 P 1.57
O 0.7610 0.6704 0.7500  1 P 1.54

6.
First-principles (PBEsol) data for crystalline NaHg2Os at its relaxed geometry, as listed in the Alexandria database.

size of the total moment = 0.0 μB per cell
E = -49.1 eV per cell
formation energy = 0.6169 eV per atom

Lattice parameters (Å, degrees): 6.6138 6.6138 6.6138 90.00 90.00 90.00
With the nearest neighbours (Å) after each atom.
Fractional coordinates of all 16 atoms:
Na 0.0000 0.0000 0.0000  8 Hg 2.86
Na 0.0000 0.5000 0.5000  8 Hg 2.86
Na 0.5000 0.0000 0.5000  8 Hg 2.86
Na 0.5000 0.5000 0.0000  8 Hg 2.86
Hg 0.2500 0.2500 0.2500  4 Na 2.86, 4 Os 2.86
Hg 0.2500 0.2500 0.7500  4 Na 2.86, 4 Os 2.86
Hg 0.2500 0.7500 0.2500  4 Na 2.86, 4 Os 2.86
Hg 0.2500 0.7500 0.7500  4 Na 2.86, 4 Os 2.86
Hg 0.7500 0.2500 0.2500  4 Na 2.86, 4 Os 2.86
Hg 0.7500 0.2500 0.7500  4 Na 2.86, 4 Os 2.86
Hg 0.7500 0.7500 0.2500  4 Na 2.86, 4 Os 2.86
Hg 0.7500 0.7500 0.7500  4 Na 2.86, 4 Os 2.86
Os 0.0000 0.0000 0.5000  8 Hg 2.86
Os 0.0000 0.5000 0.0000  8 Hg 2.86
Os 0.5000 0.0000 0.0000  8 Hg 2.86
Os 0.5000 0.5000 0.5000  8 Hg 2.86

7.
First-principles (PBEsol) data for crystalline Na2HgP2 at its relaxed geometry, as listed in the Alexandria database.

size of the total moment = 0.0 μB per cell
E = -28.8 eV per cell
formation energy = 0.1111 eV per atom

Lattice parameters (Å, degrees): 8.8533 8.8533 2.6128 90.00 90.00 90.00
With the nearest neighbours (Å) after each atom.
Fractional coordinates of all 10 atoms:
Na 0.1320 0.3680 0.0000  2 Na 2.61, 2 P 2.86
Na 0.3680 0.8680 0.0000  2 Na 2.61, 2 P 2.86
Na 0.6320 0.1320 0.0000  2 Na 2.61, 2 P 2.86
Na 0.8680 0.6320 0.0000  2 Na 2.61, 2 P 2.86
Hg 0.0000 0.0000 0.0000  2 Hg 2.61
Hg 0.5000 0.5000 0.0000  2 Hg 2.61
P 0.1645 0.6645 0.5000  2 P 2.61, 2 Na 2.86
P 0.3355 0.1645 0.5000  2 P 2.61, 2 Na 2.86
P 0.6645 0.8355 0.5000  2 P 2.61, 2 Na 2.86
P 0.8355 0.3355 0.5000  2 P 2.61, 2 Na 2.86

8.
First-principles (PBEsol) data for crystalline Na2HgPb at its relaxed geometry, as listed in the Alexandria database.

size of the total moment = 0.0 μB per cell
E = -32.4 eV per cell
formation energy = -0.1821 eV per atom

Lattice parameters (Å, degrees): 9.6349 7.7242 5.9001 90.00 90.00 90.00
With the nearest neighbours (Å) after each atom.
Fractional coordinates of all 16 atoms:
Na 0.1868 0.1715 0.2500  4 Pb 3.18-3.46, 2 Na 3.41, 2 Hg 3.44
Na 0.1868 0.8285 0.7500  4 Pb 3.18-3.46, 2 Na 3.41, 2 Hg 3.44
Na 0.3132 0.3285 0.7500  4 Pb 3.18-3.46, 2 Na 3.41, 2 Hg 3.44
Na 0.3132 0.6715 0.2500  4 Pb 3.18-3.46, 2 Na 3.41, 2 Hg 3.44
Na 0.6868 0.3285 0.7500  4 Pb 3.18-3.46, 2 Na 3.41, 2 Hg 3.44
Na 0.6868 0.6715 0.2500  4 Pb 3.18-3.46, 2 Na 3.41, 2 Hg 3.44
Na 0.8132 0.1715 0.2500  4 Pb 3.18-3.46, 2 Na 3.41, 2 Hg 3.44
Na 0.8132 0.8285 0.7500  4 Pb 3.18-3.46, 2 Na 3.41, 2 Hg 3.44
Hg 0.0000 0.5000 0.0000  2 Hg 2.95, 2 Pb 2.96
Hg 0.0000 0.5000 0.5000  2 Hg 2.95, 2 Pb 2.96
Hg 0.5000 0.0000 0.0000  2 Hg 2.95, 2 Pb 2.96
Hg 0.5000 0.0000 0.5000  2 Hg 2.95, 2 Pb 2.96
Pb 0.0000 0.1683 0.7500  2 Hg 2.96, 4 Na 3.18-3.26
Pb 0.0000 0.8317 0.2500  2 Hg 2.96, 4 Na 3.18-3.26
Pb 0.5000 0.3317 0.2500  2 Hg 2.96, 4 Na 3.18-3.26
Pb 0.5000 0.6683 0.7500  2 Hg 2.96, 4 Na 3.18-3.26

9.
First-principles (PBEsol) data for crystalline NaHg2Pb2 at its relaxed geometry, as listed in the Alexandria database.

size of the total moment = 0.0 μB per cell
E = -21.7 eV per cell
formation energy = -0.0666 eV per atom

Lattice parameters (Å, degrees): 4.6899 4.6899 13.3506 90.00 90.00 90.00
With the nearest neighbours (Å) after each atom.
Fractional coordinates of all 10 atoms:
Na 0.0000 0.0000 0.0000  8 Hg 3.58
Na 0.5000 0.5000 0.5000  8 Hg 3.58
Hg 0.0000 0.0000 0.3985  1 Hg 2.71
Hg 0.0000 0.0000 0.6015  1 Hg 2.71
Hg 0.5000 0.5000 0.1015  1 Hg 2.71
Hg 0.5000 0.5000 0.8985  1 Hg 2.71
Pb 0.0000 0.5000 0.2500  4 Hg 3.07, 4 Pb 3.32
Pb 0.0000 0.5000 0.7500  4 Hg 3.07, 4 Pb 3.32
Pb 0.5000 0.0000 0.2500  4 Hg 3.07, 4 Pb 3.32
Pb 0.5000 0.0000 0.7500  4 Hg 3.07, 4 Pb 3.32

10.
First-principles (PBEsol) data for crystalline Na2Hg2Pb at its relaxed geometry, as listed in the Alexandria database.

size of the total moment = 0.0 μB per cell
E = -17.7 eV per cell
formation energy = -0.1856 eV per atom

Lattice parameters (Å, degrees): 8.2054 8.2054 3.7250 90.00 90.00 90.00
With the nearest neighbours (Å) after each atom.
Fractional coordinates of all 10 atoms:
Na 0.1721 0.3279 0.0000  6 Hg 2.99-3.10
Na 0.3279 0.8279 0.0000  6 Hg 2.99-3.10
Na 0.6721 0.1721 0.0000  6 Hg 2.99-3.10
Na 0.8279 0.6721 0.0000  6 Hg 2.99-3.10
Hg 0.1259 0.6259 0.5000  1 Hg 2.92, 6 Na 2.99-3.10, 2 Pb 3.24
Hg 0.3741 0.1259 0.5000  1 Hg 2.92, 6 Na 2.99-3.10, 2 Pb 3.24
Hg 0.6259 0.8741 0.5000  1 Hg 2.92, 6 Na 2.99-3.10, 2 Pb 3.24
Hg 0.8741 0.3741 0.5000  1 Hg 2.92, 6 Na 2.99-3.10, 2 Pb 3.24
Pb 0.0000 0.0000 0.5000  4 Hg 3.24, 8 Na 3.56
Pb 0.5000 0.5000 0.5000  4 Hg 3.24, 8 Na 3.56

11.
First-principles (PBEsol) data for crystalline Na2HgPb at its relaxed geometry, as listed in the Alexandria database.

size of the total moment = 0.0 μB per cell
E = -31.4 eV per cell
formation energy = -0.1183 eV per atom

Lattice parameters (Å, degrees): 7.3523 7.3523 7.3523 90.00 90.00 90.00
With the nearest neighbours (Å) after each atom.
Fractional coordinates of all 16 atoms:
Na 0.2500 0.2500 0.2500  4 Pb 3.18, 4 Hg 3.18
Na 0.2500 0.2500 0.7500  4 Hg 3.18, 4 Pb 3.18
Na 0.2500 0.7500 0.2500  4 Hg 3.18, 4 Pb 3.18
Na 0.2500 0.7500 0.7500  4 Hg 3.18, 4 Pb 3.18
Na 0.7500 0.2500 0.2500  4 Hg 3.18, 4 Pb 3.18
Na 0.7500 0.2500 0.7500  4 Hg 3.18, 4 Pb 3.18
Na 0.7500 0.7500 0.2500  4 Hg 3.18, 4 Pb 3.18
Na 0.7500 0.7500 0.7500  4 Hg 3.18, 4 Pb 3.18
Hg 0.0000 0.0000 0.0000  8 Na 3.18
Hg 0.0000 0.5000 0.5000  8 Na 3.18
Hg 0.5000 0.0000 0.5000  8 Na 3.18
Hg 0.5000 0.5000 0.0000  8 Na 3.18
Pb 0.0000 0.0000 0.5000  8 Na 3.18
Pb 0.0000 0.5000 0.0000  8 Na 3.18
Pb 0.5000 0.0000 0.0000  8 Na 3.18
Pb 0.5000 0.5000 0.5000  8 Na 3.18

12.
First-principles (PBEsol) data for crystalline NaHgPdPb2 at its relaxed geometry, as listed in the Alexandria database.

size of the total moment = 0.0 μB per cell
E = -12.5 eV per cell
formation energy = 0.6865 eV per atom

Lattice parameters (Å, degrees): 5.3508 5.3508 4.6919 90.00 90.00 90.00
With the nearest neighbours (Å) after each atom.
Fractional coordinates of all 5 atoms:
Na 0.0000 0.0000 0.0000  2 Pd 2.35
Hg 0.5000 0.5000 0.5000  8 Pb 3.56, 4 Pd 3.78
Pd 0.0000 0.0000 0.5000  2 Na 2.35
Pb 0.0000 0.5000 0.0000  2 Na 2.68
Pb 0.5000 0.0000 0.0000  2 Na 2.68